Entry A
ScP2RhO after structural relaxation, computed with PBE.

```
ScP2RhO
1.0
-1.0721 0.8016 -4.6362
3.8300 -2.6131 -1.3375
-2.0885 -3.0394 -0.0425
Rh P Sc O
1 2 1 1
direct
0.0000 0.0000 0.0000
0.5000 0.0000 0.0000
0.0000 0.5000 0.0000
0.5000 0.5000 0.5000
0.0000 0.0000 0.5000
```

Results
Its crystal system is tetragonal. The volume comes out at 85.9 Å³ per cell. The calculation puts the density of states at the Fermi level at 2.86 states/eV/cell. The symmetry is P4/mmm, No. 123. The calculation puts the density at 4.37 g/cm³.

---

Entry B
ScP2RhO after structural relaxation, computed with PBE.

```
ScP2RhO
1.0
5.0032 0.0000 0.0000
0.0000 5.0032 0.0000
0.0000 0.0000 3.7589
P Rh O Sc
2 1 1 1
direct
0.0000 0.5000 0.0000
0.5000 0.0000 0.0000
0.5000 0.5000 0.5000
0.0000 0.0000 0.5000
0.0000 0.0000 0.0000
```

Results
Its crystal system is tetragonal. The volume comes out at 94.1 Å³ per cell. The calculation puts the density of states at the Fermi level at 6.12 states/eV/cell. The symmetry is P4/mmm, No. 123. The calculation puts the density at 3.99 g/cm³.

---

Q: Which of them is the least stable? A: entry B.

---

Entry A
ScPRhO2 after structural relaxation, computed with PBE.

```
ScPRhO2
1.0
3.8619 0.0000 0.0000
0.0000 3.8619 0.0000
0.0000 0.0000 4.9140
P Rh O Sc
1 1 2 1
direct
0.0000 0.0000 0.5000
0.0000 0.0000 0.0000
0.0000 0.5000 0.0000
0.5000 0.0000 0.0000
0.5000 0.5000 0.5000
```

Results
Its crystal system is tetragonal. The volume comes out at 73.3 Å³ per cell. The calculation puts the density of states at the Fermi level at 3.12 states/eV/cell. The symmetry is P4/mmm, No. 123. The calculation puts the density at 4.78 g/cm³.

---

Entry B
ScPRhO2 after structural relaxation, computed with PBE.

```
ScPRhO2
1.0
3.8341 0.0000 0.0000
0.0000 3.8341 0.0000
0.0000 0.0000 5.9087
Sc O P Rh
1 2 1 1
direct
0.0000 0.0000 0.0000
0.5000 0.0000 0.0000
0.0000 0.5000 0.0000
0.0000 0.0000 0.5000
0.5000 0.5000 0.5000
```

Results
Its crystal system is tetragonal. The volume comes out at 86.9 Å³ per cell. The calculation puts the density of states at the Fermi level at 4.22 states/eV/cell. The symmetry is P4/mmm, No. 123. The calculation puts the density at 4.03 g/cm³.

---

Q: Which of them is the least stable? A: entry B.

---

Entry A
P2RhSeO after structural relaxation, computed with PBE.

```
P2RhSeO
1.0
-1.2286 -3.0432 -3.4479
4.5710 -1.2000 -0.5697
-0.3764 -2.5774 2.4091
O Se P Rh
1 1 2 1
direct
0.0000 0.0000 0.5000
0.0000 0.0000 0.0000
0.0000 0.5000 0.0000
0.5000 0.0000 0.0000
0.5000 0.5000 0.5000
```

Results
Its crystal system is tetragonal. The volume comes out at 80.4 Å³ per cell. The calculation puts the density of states at the Fermi level at 3.86 states/eV/cell. The symmetry is P4/mmm, No. 123. The calculation puts the density at 5.37 g/cm³.

---

Entry B
P2RhSeO after structural relaxation, computed with PBE.

```
P2RhSeO
1.0
-2.6074 -3.2127 2.4170
3.3145 -3.3482 -0.8748
1.7637 0.9269 3.1347
Se P Rh O
1 2 1 1
direct
0.5000 0.5000 0.5000
0.0000 0.5000 0.0000
0.5000 0.0000 0.0000
0.0000 0.0000 0.0000
0.0000 0.0000 0.5000
```

Results
Its crystal system is tetragonal. The volume comes out at 85.3 Å³ per cell. The calculation puts the density of states at the Fermi level at 4.35 states/eV/cell. The symmetry is P4/mmm, No. 123. The calculation puts the density at 5.06 g/cm³.

---

Q: Which of them is the least stable? A: entry A.

---

Entry A
SiP2RhO after structural relaxation, computed with PBE.

```
SiP2RhO
1.0
4.6781 0.0000 0.0000
0.0000 4.6781 0.0000
0.0000 0.0000 3.1997
P O Rh Si
2 1 1 1
direct
0.0000 0.5000 0.0000
0.5000 0.0000 0.0000
0.0000 0.0000 0.5000
0.5000 0.5000 0.5000
0.0000 0.0000 0.0000
```

Results
Its crystal system is tetragonal. The volume comes out at 70.0 Å³ per cell. The calculation puts the density of states at the Fermi level at 2.33 states/eV/cell. The symmetry is P4/mmm, No. 123. The calculation puts the density at 4.95 g/cm³.

---

Entry B
SiP2RhO after structural relaxation, computed with PBE.

```
SiP2RhO
1.0
-1.9673 -3.1253 3.0577
2.1016 -3.6162 -2.3440
2.9298 0.2892 2.1807
P Si Rh O
2 1 1 1
direct
0.0000 0.5000 0.0000
0.5000 0.0000 0.0000
0.5000 0.5000 0.5000
0.0000 0.0000 0.0000
0.0000 0.0000 0.5000
```

Results
Its crystal system is tetragonal. The volume comes out at 84.2 Å³ per cell. The calculation puts the density of states at the Fermi level at 4.69 states/eV/cell. The symmetry is P4/mmm, No. 123. The calculation puts the density at 4.12 g/cm³.

---

Q: Which of them is the least stable? A: entry B.

---

Entry A
SnP2RhO after structural relaxation, computed with PBE.

```
SnP2RhO
1.0
-2.2797 4.4773 0.5163
-4.3790 -2.3372 0.9335
0.8059 -0.0199 3.7308
P O Rh Sn
2 1 1 1
direct
0.0000 0.5000 0.0000
0.5000 0.0000 0.0000
0.0000 0.0000 0.5000
0.5000 0.5000 0.5000
0.0000 0.0000 0.0000
```

Results
Its crystal system is tetragonal. The volume comes out at 97.4 Å³ per cell. The calculation puts the density of states at the Fermi level at 6.16 states/eV/cell. The symmetry is P4/mmm, No. 123. The calculation puts the density at 5.11 g/cm³.

---

Entry B
SnP2RhO after structural relaxation, computed with PBE.

```
SnP2RhO
1.0
-4.6701 0.9608 1.1280
-1.3347 -1.1086 -4.5820
-0.4882 -3.5480 1.0006
O Rh P Sn
1 1 2 1
direct
0.0000 0.0000 0.5000
0.0000 0.0000 0.0000
0.0000 0.5000 0.0000
0.5000 0.0000 0.0000
0.5000 0.5000 0.5000
```

Results
Its crystal system is tetragonal. The volume comes out at 89.3 Å³ per cell. The calculation puts the density of states at the Fermi level at 4.23 states/eV/cell. The symmetry is P4/mmm, No. 123. The calculation puts the density at 5.57 g/cm³.

---

Q: Which of them is the least stable? A: entry A.

---

Entry A
SrP2RhO after structural relaxation, computed with PBE.

```
SrP2RhO
1.0
-4.2218 -1.4651 -0.0075
0.9974 -2.8908 3.2585
-1.1631 3.3347 3.3143
Sr O P Rh
1 1 2 1
direct
0.5000 0.5000 0.5000
0.0000 0.0000 0.5000
0.0000 0.5000 0.0000
0.5000 0.0000 0.0000
0.0000 0.0000 0.0000
```

Results
Its crystal system is tetragonal. The volume comes out at 96.7 Å³ per cell. The calculation puts the density of states at the Fermi level at 2.00 states/eV/cell. The symmetry is P4/mmm, No. 123. The calculation puts the density at 4.61 g/cm³.

---

Entry B
SrP2RhO after structural relaxation, computed with PBE.

```
SrP2RhO
1.0
-0.3418 -4.3167 3.3275
0.2722 -3.3434 -4.3093
4.1284 -0.0788 0.3219
Rh O P Sr
1 1 2 1
direct
0.5000 0.5000 0.5000
0.0000 0.0000 0.5000
0.0000 0.5000 0.0000
0.5000 0.0000 0.0000
0.0000 0.0000 0.0000
```

Results
Its crystal system is tetragonal. The volume comes out at 123.5 Å³ per cell. The calculation puts the density of states at the Fermi level at 7.66 states/eV/cell. The symmetry is P4/mmm, No. 123. The calculation puts the density at 3.61 g/cm³.

---

Q: Which of them is the least stable? A: entry B.

---

Entry A
SrPRhO2 after structural relaxation, computed with PBE.

```
SrPRhO2
1.0
4.2075 0.0000 0.0000
0.0000 4.2075 0.0000
0.0000 0.0000 6.6101
O P Sr Rh
2 1 1 1
direct
0.0000 0.5000 0.0000
0.5000 0.0000 0.0000
0.0000 0.0000 0.5000
0.0000 0.0000 0.0000
0.5000 0.5000 0.5000
```

Results
Its crystal system is tetragonal. The volume comes out at 117.0 Å³ per cell. The calculation puts the density of states at the Fermi level at 6.50 states/eV/cell. The symmetry is P4/mmm, No. 123. The calculation puts the density at 3.60 g/cm³.

---

Entry B
SrPRhO2 after structural relaxation, computed with PBE.

```
SrPRhO2
1.0
-1.1841 -3.0414 -2.7345
-0.5658 -2.6976 3.2454
-4.2047 1.3140 0.3592
O Sr P Rh
2 1 1 1
direct
0.5000 0.0000 0.0000
0.0000 0.5000 0.0000
0.5000 0.5000 0.5000
0.0000 0.0000 0.5000
0.0000 0.0000 0.0000
```

Results
Its crystal system is tetragonal. The volume comes out at 80.1 Å³ per cell. The calculation puts the density of states at the Fermi level at 4.87 states/eV/cell. The symmetry is P4/mmm, No. 123. The calculation puts the density at 5.25 g/cm³.

---

Q: Which of them is the least stable? A: entry A.

---

Entry A
TaP2RhO after structural relaxation, computed with PBE.

```
TaP2RhO
1.0
-3.9729 -0.1576 -2.5845
-1.6594 -3.4787 2.7629
-1.5123 2.4491 2.1753
O Rh P Ta
1 1 2 1
direct
0.0000 0.0000 0.5000
0.0000 0.0000 0.0000
0.0000 0.5000 0.0000
0.5000 0.0000 0.0000
0.5000 0.5000 0.5000
```

Results
Its crystal system is tetragonal. The volume comes out at 81.1 Å³ per cell. The calculation puts the density of states at the Fermi level at 4.09 states/eV/cell. The symmetry is P4/mmm, No. 123. The calculation puts the density at 7.40 g/cm³.

---

Entry B
TaP2RhO after structural relaxation, computed with PBE.

```
TaP2RhO
1.0
4.8944 0.0000 0.0000
0.0000 4.8944 0.0000
0.0000 0.0000 3.7734
O P Rh Ta
1 2 1 1
direct
0.0000 0.0000 0.5000
0.5000 0.0000 0.0000
0.0000 0.5000 0.0000
0.5000 0.5000 0.5000
0.0000 0.0000 0.0000
```

Results
Its crystal system is tetragonal. The volume comes out at 90.4 Å³ per cell. The calculation puts the density of states at the Fermi level at 4.83 states/eV/cell. The symmetry is P4/mmm, No. 123. The calculation puts the density at 6.65 g/cm³.

---

Q: Which of them is the least stable? A: entry A.

---

Entry A
TcP2RhO after structural relaxation, computed with PBE.

```
TcP2RhO
1.0
-4.0167 2.5059 -0.1075
-2.4644 -3.9053 1.0487
0.3588 0.7277 3.5529
P Rh Tc O
2 1 1 1
direct
0.5000 0.0000 0.0000
0.0000 0.5000 0.0000
0.0000 0.0000 0.0000
0.5000 0.5000 0.5000
0.0000 0.0000 0.5000
```

Results
Its crystal system is tetragonal. The volume comes out at 81.7 Å³ per cell. The calculation puts the density of states at the Fermi level at 2.86 states/eV/cell. The symmetry is P4/mmm, No. 123. The calculation puts the density at 5.67 g/cm³.

---

Entry B
TcP2RhO after structural relaxation, computed with PBE.

```
TcP2RhO
1.0
4.7050 0.0000 0.0000
0.0000 4.7050 0.0000
0.0000 0.0000 3.6256
O P Rh Tc
1 2 1 1
direct
0.0000 0.0000 0.5000
0.5000 0.0000 0.0000
0.0000 0.5000 0.0000
0.5000 0.5000 0.5000
0.0000 0.0000 0.0000
```

Results
Its crystal system is tetragonal. The volume comes out at 80.3 Å³ per cell. The calculation puts the density of states at the Fermi level at 4.66 states/eV/cell. The symmetry is P4/mmm, No. 123. The calculation puts the density at 5.77 g/cm³.

---

Q: Which of them is the least stable? A: entry A.

---

Entry A
TcPRhO2 after structural relaxation, computed with PBE.

```
TcPRhO2
1.0
3.6838 0.0000 0.0000
0.0000 3.6838 0.0000
0.0000 0.0000 5.3429
Rh O P Tc
1 2 1 1
direct
0.5000 0.5000 0.5000
0.0000 0.5000 0.0000
0.5000 0.0000 0.0000
0.0000 0.0000 0.5000
0.0000 0.0000 0.0000
```

Results
Its crystal system is tetragonal. The volume comes out at 72.5 Å³ per cell. The calculation puts the density of states at the Fermi level at 3.11 states/eV/cell. The symmetry is P4/mmm, No. 123. The calculation puts the density at 6.04 g/cm³.

---

Entry B
TcPRhO2 after structural relaxation, computed with PBE.

```
TcPRhO2
1.0
-0.7002 3.5363 -0.0724
-0.7123 -0.2392 -4.7986
-3.4973 -0.6811 0.5531
Rh O P Tc
1 2 1 1
direct
0.0000 0.5000 0.0000
0.5000 0.0000 0.0000
0.0000 0.0000 0.5000
0.0000 0.0000 0.0000
0.5000 0.5000 0.5000
```

Results
Its crystal system is tetragonal. The volume comes out at 63.1 Å³ per cell. The calculation puts the density of states at the Fermi level at 4.18 states/eV/cell. The symmetry is P4/mmm, No. 123. The calculation puts the density at 6.94 g/cm³.

---

Q: Which of them is the least stable? A: entry B.

---

Entry A
TiPRhO2 after structural relaxation, computed with PBE.

```
TiPRhO2
1.0
-3.2306 -1.4613 -0.9383
-0.0730 -1.8657 3.1569
-2.6298 4.2428 2.4466
O Ti Rh P
2 1 1 1
direct
0.0000 0.5000 0.0000
0.5000 0.0000 0.0000
0.0000 0.0000 0.0000
0.5000 0.5000 0.5000
0.0000 0.0000 0.5000
```

Results
Its crystal system is tetragonal. The volume comes out at 74.8 Å³ per cell. The calculation puts the density of states at the Fermi level at 5.10 states/eV/cell. The symmetry is P4/mmm, No. 123. The calculation puts the density at 4.75 g/cm³.

---

Entry B
TiPRhO2 after structural relaxation, computed with PBE.

```
TiPRhO2
1.0
3.8021 0.0000 0.0000
0.0000 3.8021 0.0000
0.0000 0.0000 4.9706
P O Rh Ti
1 2 1 1
direct
0.0000 0.0000 0.5000
0.5000 0.0000 0.0000
0.0000 0.5000 0.0000
0.0000 0.0000 0.0000
0.5000 0.5000 0.5000
```

Results
Its crystal system is tetragonal. The volume comes out at 71.9 Å³ per cell. The calculation puts the density of states at the Fermi level at 6.50 states/eV/cell. The symmetry is P4/mmm, No. 123. The calculation puts the density at 4.94 g/cm³.

---

Q: Which of them is the least stable? A: entry B.

---

Entry A
TlPRhO2 after structural relaxation, computed with PBE.

```
TlPRhO2
1.0
3.9213 0.0000 0.0000
0.0000 3.9213 0.0000
0.0000 0.0000 5.0985
Tl Rh O P
1 1 2 1
direct
0.5000 0.5000 0.5000
0.0000 0.0000 0.0000
0.5000 0.0000 0.0000
0.0000 0.5000 0.0000
0.0000 0.0000 0.5000
```

Results
Its crystal system is tetragonal. The volume comes out at 78.4 Å³ per cell. The calculation puts the density of states at the Fermi level at 2.45 states/eV/cell. The symmetry is P4/mmm, No. 123. The calculation puts the density at 7.84 g/cm³.

---

Entry B
TlPRhO2 after structural relaxation, computed with PBE.

```
TlPRhO2
1.0
3.9303 0.0000 0.0000
0.0000 3.9303 0.0000
0.0000 0.0000 6.2396
O Tl Rh P
2 1 1 1
direct
0.5000 0.0000 0.0000
0.0000 0.5000 0.0000
0.0000 0.0000 0.0000
0.5000 0.5000 0.5000
0.0000 0.0000 0.5000
```

Results
Its crystal system is tetragonal. The volume comes out at 96.4 Å³ per cell. The calculation puts the density of states at the Fermi level at 3.74 states/eV/cell. The symmetry is P4/mmm, No. 123. The calculation puts the density at 6.38 g/cm³.

---

Q: Which of them is the least stable? A: entry B.